## BaRe2Pb (PBE-GGA)

Data for crystalline BaRe2Pb at its relaxed geometry.

Summary:
Calculated total energy in Ha/atom: -0.224
Density in g/cm³: 13.45

The structure in CIF format:
```
data_BaRe2Pb
_chemical_formula_sum 'Ba2 Re4 Pb2'
_cell_length_a 6.454
_cell_length_b 10.383
_cell_length_c 2.932
_cell_angle_alpha 90.00
_cell_angle_beta 115.72
_cell_angle_gamma 90.00
_symmetry_space_group_name_H-M 'C 1 2/m 1'
_symmetry_Int_Tables_number 12
loop_
_symmetry_equiv_pos_as_xyz
'x,y,z'
'-x,-y,-z'
'-x,y,-z'
'x,-y,z'
'x+1/2,y+1/2,z'
'-x+1/2,-y+1/2,-z'
'-x+1/2,y+1/2,-z'
'x+1/2,-y+1/2,z'
loop_
_atom_site_label
_atom_site_fract_x
_atom_site_fract_y
_atom_site_fract_z
_atom_site_occupancy
Ba1 0.000 0.000 0.000 1
Re1 0.250 0.250 0.500 1
Pb1 0.000 0.500 0.000 1
```